Computed, not measured: a relaxed structure of Ac2PrMn2N6 at the PBE-GGA level of DFT.

The structure belongs to space group R-3m (No. 166, hexagonal axes); the cell edges are 5.7402, 5.7402 and 18.9623 Å and the angles 90.00°, 90.00° and 120.00°. The asymmetric unit holds Ac at (0.0000, 0.0000, 0.2131), Pr at (0.0000, 0.0000, 0.0000), Mn at (0.0000, 0.0000, 0.4068) and N at (0.0069, 0.5035, 0.2370).

The uncorrected formation energy comes out at -0.73 eV per atom. The value obtained for the total energy is -8.121 eV per atom.

=====

Computed, not measured: a relaxed structure of Ac2SiAu2 at the PBE-GGA level of DFT.

The structure belongs to space group C2/m (No. 12); the cell edges are 11.765, 4.406 and 11.926 Å and the angles 90.00°, 115.49° and 90.00°. The asymmetric unit holds Ac at (0.091, 0.000, 0.396), Ac at (0.189, 0.500, 0.132), Si at (0.086, 0.500, 0.822), Au at (0.040, 0.000, 0.903) and Au at (0.138, 0.500, 0.622).

The uncorrected formation energy comes out at -0.75 eV per atom. The value obtained for the total energy is -4.792 eV per atom.

=====

Computed, not measured: a relaxed structure of TaPd3Pt at the PBE-GGA level of DFT.

The structure belongs to space group Pm-3m (No. 221); the cell edges are 4.782, 4.782 and 4.782 Å and the angles 90.00°, 90.00° and 90.00°. The asymmetric unit holds Ta at (0.000, 0.000, 0.000), Pd at (0.000, 0.500, 0.500) and Pt at (0.500, 0.500, 0.500).

The calculation puts the energy above the most stable polymorph in this dataset at 1.929 eV/atom. As for the formation energy: 1.49 eV/atom. The value obtained for the total energy is -5.208 eV per atom.

=====

Computed, not measured: a relaxed structure of HfCoB3 at the PBE-GGA level of DFT.

The structure belongs to space group Pm-3m (No. 221); the cell edges are 3.749, 3.749 and 3.749 Å and the angles 90.00°, 90.00° and 90.00°. The asymmetric unit holds Hf at (0.000, 0.000, 0.000), Co at (0.500, 0.500, 0.500) and B at (0.000, 0.500, 0.500).

The calculation puts the energy above the most stable polymorph in this dataset at 1.012 eV/atom. As for the formation energy: 0.32 eV/atom. The value obtained for the total energy is -7.098 eV per atom.

=====

Number 1: mass density 7.26 g cm⁻³. Number 2: mass density 10.43 g cm⁻³. Number 3: mass density 10.56 g cm⁻³. Number 4: mass density 8.50 g cm⁻³.